# Cr2NiHg PBE optimized geometry
# - energy of formation from the pure elements (kJ/mol of atoms) = 42.6
# - VASP energy (eV per formula unit) = -23.6
data_Cr2NiHg
_cell_length_a 8.985
_cell_length_b 2.863
_cell_length_c 4.531
_cell_angle_alpha 90.00
_cell_angle_beta 101.84
_cell_angle_gamma 90.00
_space_group_name_H-M_alt 'C 1 2/m 1'
_space_group_IT_number 12
loop_
_space_group_symop_operation_xyz
'x,y,z'
'-x,-y,-z'
'-x,y,-z'
'x,-y,z'
'x+1/2,y+1/2,z'
'-x+1/2,-y+1/2,-z'
'-x+1/2,y+1/2,-z'
'x+1/2,-y+1/2,z'
loop_
_atom_site_label
_atom_site_type_symbol
_atom_site_fract_x
_atom_site_fract_y
_atom_site_fract_z
Cr1 Cr 0.240 0.000 0.173
Ni1 Ni 0.000 0.500 0.000
Hg1 Hg 0.000 0.000 0.500